Np2GaRe | GGA-PBE | relaxed

```
data_Np2GaRe
_chemical_formula_sum 'Np2 Ga1 Re1'
_space_group_name_H-M_alt 'P 1'
_space_group_IT_number 1
_cell_length_a 2.791
_cell_length_b 2.791
_cell_length_c 10.894
_cell_angle_alpha 82.64
_cell_angle_beta 82.64
_cell_angle_gamma 60.00
loop_
_space_group_symop_operation_xyz
'x,y,z'
loop_
_atom_site_label
_atom_site_type_symbol
_atom_site_fract_x
_atom_site_fract_y
_atom_site_fract_z
Np1 Np 0.250 0.250 0.250
Np2 Np 0.750 0.750 0.750
Ga1 Ga 0.500 0.500 0.500
Re1 Re 0.000 0.000 0.000
```

Energy of formation = 246 meV/atom
E_tot = -10.09 eV per atom